Record 1
Density functional theory data (PBE-GGA) for an optimized crystal structure of BaNa2Mn.

Computed properties:
formation enthalpy at 0 K: 2.09 eV per formula unit
E above lowest polymorph: 0.019 eV/atom

abc: 4.832 4.832 25.377
angles: 90.00 90.00 90.00
Space group I-42d (No. 122)
One atom of each set of equivalent atoms:
Ba1 0.000 0.000 0.000 [4 per cell]
Na1 0.208 0.250 0.625 [8 per cell]
Mn1 0.000 0.000 0.500 [4 per cell]

Record 2
Density functional theory data (PBE-GGA) for an optimized crystal structure of Ca2ZnCr.

Computed properties:
formation enthalpy at 0 K: 1.34 eV per formula unit

abc: 7.258 7.258 7.258
angles: 90.00 90.00 90.00
Space group F-43m (No. 216)
One atom of each set of equivalent atoms:
Ca1 0.000 0.000 0.000 [4 per cell]
Ca2 0.250 0.250 0.250 [4 per cell]
Zn1 0.000 0.000 0.500 [4 per cell]
Cr1 0.250 0.250 0.750 [4 per cell]

Record 3
Density functional theory data (PBE-GGA) for an optimized crystal structure of CaPd3.

Computed properties:
formation enthalpy at 0 K: -1.69 eV per formula unit

abc: 3.125 9.284 4.866
angles: 90.00 90.00 90.00
Space group Imm2 (No. 44)
One atom of each set of equivalent atoms:
Ca1 0.000 0.000 0.000 [2 per cell]
Pd1 0.000 0.242 0.636 [4 per cell]
Pd2 0.000 0.500 0.985 [2 per cell]

Record 4
Density functional theory data (PBE-GGA) for an optimized crystal structure of Mg2AlSbRu.

Computed properties:
total energy: -14.244 eV for the cell shown

abc: 5.196 5.196 5.224
angles: 90.00 90.00 90.00
Space group P4/mmm (No. 123)
One atom of each set of equivalent atoms:
Mg1 0.000 0.500 0.000 [2 per cell]
Al1 0.000 0.000 0.500 [1 per cell]
Sb1 0.000 0.000 0.000 [1 per cell]
Ru1 0.500 0.500 0.500 [1 per cell]